Compound: LiMg2Si
Source: Alexandria via LeMat-Bulk
Functional: PBE
Structure: optimized geometry

abc: 3.9448 4.2632 4.2632
angles: 90.00 90.00 90.00
Sites, in units of the cell vectors:
Si 0.5000 0.5000 0.0000
Mg 0.0000 0.0000 0.0000
Mg 0.0000 0.5000 0.5000
Li 0.5000 0.0000 0.5000

Computed properties:
* space group: P4/mmm, No. 123
* VASP energy: -2.720 eV per atom
* N(E_F): 1.767 states/eV per cell



Compound: LiMgSi
Source: Alexandria via LeMat-Bulk
Functional: PBE
Structure: optimized geometry

abc: 3.1937 4.3677 7.4493
angles: 90.00 90.00 90.00
Sites, in units of the cell vectors:
Li 0.0000 0.0000 0.6409
Li 0.0000 0.5000 0.0688
Mg 0.5000 0.0000 0.9838
Mg 0.5000 0.5000 0.4096
Si 0.0000 0.0000 0.2833
Si 0.5000 0.5000 0.7727

Computed properties:
* space group: Pmm2, No. 25
* VASP energy: -3.113 eV per atom
* N(E_F): 1.307 states/eV per cell



Compound: Li3Mg8Si4
Source: Alexandria via LeMat-Bulk
Functional: PBE
Structure: optimized geometry

abc: 6.5396 6.5396 6.5396
angles: 90.00 90.00 90.00
Sites, in units of the cell vectors:
Li 0.5000 0.0000 0.0000
Li 0.0000 0.5000 0.0000
Li 0.0000 0.0000 0.5000
Mg 0.2569 0.2569 0.2569
Mg 0.7431 0.7431 0.2569
Mg 0.7431 0.2569 0.7431
Mg 0.2569 0.7431 0.7431
Mg 0.2569 0.2569 0.7431
Mg 0.7431 0.7431 0.7431
Mg 0.7431 0.2569 0.2569
Mg 0.2569 0.7431 0.2569
Si 0.0000 0.0000 0.0000
Si 0.0000 0.5000 0.5000
Si 0.5000 0.0000 0.5000
Si 0.5000 0.5000 0.0000

Computed properties:
* space group: Pm-3m, No. 221
* VASP energy: -2.742 eV per atom
* N(E_F): 6.842 states/eV per cell



Compound: LiMgSi
Source: Alexandria via LeMat-Bulk
Functional: PBE
Structure: optimized geometry

abc: 5.6550 7.2565 5.7033
angles: 90.00 110.44 90.00
Sites, in units of the cell vectors:
Li 0.5000 0.7427 0.5000
Li 0.5000 0.2427 0.0000
Li 0.0000 0.7258 0.0000
Li 0.0000 0.2258 0.5000
Mg 0.0000 0.1502 0.0000
Mg 0.0000 0.6502 0.5000
Mg 0.5000 0.1111 0.5000
Mg 0.5000 0.6111 0.0000
Si 0.7059 0.9365 0.1959
Si 0.2941 0.9365 0.8041
Si 0.7059 0.4365 0.6959
Si 0.2941 0.4365 0.3041

Computed properties:
* space group: C2, No. 5
* VASP energy: -3.112 eV per atom
* N(E_F): 0.825 states/eV per cell



Calculated spin magnetization in order - 0.00, 0.00, 0.00, 0.00 μB per formula unit
Calculated raw formation energy in order - -89, -136, -63, -135 meV per atom